Entry 1:
9
Lattice="8.016 0.000 0.000 -4.008 6.942 0.000 0.000 0.000 3.756" Properties=species:S:1:pos:R:3 comment="Er3Zr3FeSb2 (PBE-GGA, optimized geometry)" crystal_system=hexagonal sg="P-62m (189)" m_tot_mub_per_cell=0.902 e_tot_ev_per_atom=-6.6130 polymorph_energy_mev_per_atom=149 pbc="T T T"
Er 1.946 0.000 1.878
Er -0.973 1.685 1.878
Er 3.035 5.257 1.878
Fe 0.000 0.000 0.000
Sb 4.008 2.314 1.878
Sb 0.000 4.628 1.878
Zr 4.807 0.000 0.000
Zr 1.604 2.779 0.000
Zr -2.404 4.163 0.000

Entry 2:
9
Lattice="7.868 0.000 0.000 -3.934 6.814 0.000 0.000 0.000 4.020" Properties=species:S:1:pos:R:3 comment="Er3Zr3FeSb2 (PBE-GGA, optimized geometry)" crystal_system=hexagonal sg="P-62m (189)" m_tot_mub_per_cell=2.636 e_tot_ev_per_atom=-6.7616 polymorph_energy_mev_per_atom=0 pbc="T T T"
Er 4.740 0.000 0.000
Er 1.564 2.709 0.000
Er -2.370 4.105 0.000
Fe 0.000 0.000 0.000
Sb 3.934 2.271 2.010
Sb 0.000 4.543 2.010
Zr 1.783 0.000 2.010
Zr -0.892 1.544 2.010
Zr 3.042 5.270 2.010

Entry 3:
10
Lattice="5.067 -2.032 0.000 5.067 2.032 0.000 -4.849 0.000 8.411" Properties=species:S:1:pos:R:3 comment="ErScFeSi2 (PBE-GGA, optimized geometry)" crystal_system=monoclinic sg="C2/m (12)" m_tot_mub_per_cell=0.107 e_tot_ev_per_atom=-6.7421 pbc="T T T"
Er -0.783 0.000 1.498
Er 6.068 0.000 6.913
Fe 2.163 0.000 1.062
Fe 3.122 0.000 7.348
Sc 6.388 0.000 3.313
Sc -1.103 0.000 5.098
Si 6.298 0.000 0.572
Si 3.284 0.000 3.178
Si 2.001 0.000 5.233
Si -1.014 0.000 7.839

Entry 4:
14
Lattice="0.000 5.704 5.704 5.704 0.000 5.704 5.704 5.704 0.000" Properties=species:S:1:pos:R:3 comment="Er2FeSe4 (PBE-GGA, optimized geometry)" crystal_system=cubic sg="Fd-3m (227)" m_tot_mub_per_cell=7.999 e_tot_ev_per_atom=-5.7819 pbc="T T T"
Er 1.426 1.426 1.426
Er 1.426 4.278 4.278
Er 4.278 1.426 4.278
Er 4.278 4.278 1.426
Fe 5.704 5.704 5.704
Fe 8.556 8.556 8.556
Se 7.118 7.118 9.994
Se 4.266 7.142 7.142
Se 7.142 4.266 7.142
Se 4.266 4.266 4.266
Se 7.118 9.994 7.118
Se 9.994 7.118 7.118
Se 9.994 9.994 9.994
Se 7.142 7.142 4.266